# 1
# VReNi PBE-GGA relaxed
data_VReNi
_space_group_name_H-M_alt 'P 3 m 1'
_space_group_IT_number 156
_space_group_name_Hall 'P 3 -2"'
_cell_length_a 4.2552
_cell_length_b 4.2552
_cell_length_c 2.5202
_cell_angle_alpha 90.00
_cell_angle_beta 90.00
_cell_angle_gamma 120.00
loop_
_atom_site_label
_atom_site_fract_x
_atom_site_fract_y
_atom_site_fract_z
V1 0.0000 0.0000 0.0000
Re1 0.6667 0.3333 0.5906
Ni1 0.3333 0.6667 0.1143
# * spin magnetization: 0.00 μB per atom
# * theoretical density: 12.4 Mg/m³
# * calculated formation energy: -5.1 kJ/mol of atoms
# * uncorrected energy: -9.169 eV/atom

=====

# 2
# VReNi PBE-GGA relaxed
data_VReNi
_space_group_name_H-M_alt 'I 4 m m'
_space_group_IT_number 107
_space_group_name_Hall 'I 4 -2'
_cell_length_a 3.087
_cell_length_b 3.087
_cell_length_c 8.339
_cell_angle_alpha 90.00
_cell_angle_beta 90.00
_cell_angle_gamma 90.00
loop_
_atom_site_label
_atom_site_fract_x
_atom_site_fract_y
_atom_site_fract_z
V1 0.000 0.000 0.000
Re1 0.000 0.000 0.658
Ni1 0.000 0.000 0.335
# * spin magnetization: 0.00 μB per atom
# * theoretical density: 12.4 Mg/m³
# * calculated formation energy: 2.2 kJ/mol of atoms
# * uncorrected energy: -9.094 eV/atom

=====

# 3
# VReNi2 PBE-GGA relaxed
data_VReNi2
_space_group_name_H-M_alt 'P 4/m m m'
_space_group_IT_number 123
_space_group_name_Hall '-P 4 2'
_cell_length_a 3.610
_cell_length_b 3.610
_cell_length_c 3.804
_cell_angle_alpha 90.00
_cell_angle_beta 90.00
_cell_angle_gamma 90.00
loop_
_atom_site_label
_atom_site_fract_x
_atom_site_fract_y
_atom_site_fract_z
V1 0.000 0.000 0.000
Re1 0.500 0.500 0.000
Ni1 0.000 0.500 0.500
# * spin magnetization: 0.00 μB per atom
# * theoretical density: 11.9 Mg/m³
# * calculated formation energy: -10.8 kJ/mol of atoms
# * uncorrected energy: -8.394 eV/atom

=====

# 4
# V3ReNi PBE-GGA relaxed
data_V3ReNi
_space_group_name_H-M_alt 'P m -3 m'
_space_group_IT_number 221
_space_group_name_Hall '-P 4 2 3'
_cell_length_a 4.256
_cell_length_b 4.256
_cell_length_c 4.256
_cell_angle_alpha 90.00
_cell_angle_beta 90.00
_cell_angle_gamma 90.00
loop_
_atom_site_label
_atom_site_fract_x
_atom_site_fract_y
_atom_site_fract_z
V1 0.000 0.000 0.500
Re1 0.500 0.500 0.500
Ni1 0.000 0.000 0.000
# * spin magnetization: 0.00 μB per atom
# * theoretical density: 8.6 Mg/m³
# * calculated formation energy: 101.7 kJ/mol of atoms
# * uncorrected energy: -8.063 eV/atom